i:
Entry from the Alexandria database: a geometry-optimized Mg3As2 structure (GGA-PBE).

Computed properties:
V: 21.7 Å³ per atom

Cell and atoms, written as POSCAR:
```
Mg3As2
1.0
-3.879 1.530 -1.049
1.117 -3.992 -1.141
-2.509 -2.367 5.824
Mg As
3 2
Direct
0.333 0.667 0.359
0.000 0.000 0.000
0.667 0.333 0.641
0.667 0.333 0.231
0.333 0.667 0.769
```

ii:
Entry from the Alexandria database: a geometry-optimized Mg3As2 structure (GGA-PBE).

Computed properties:
V: 24.3 Å³ per atom

Cell and atoms, written as POSCAR:
```
Mg3As2
1.0
10.804 0.000 0.000
-3.601 10.186 0.000
-3.601 -5.093 8.822
Mg As
24 16
Direct
0.734 0.969 0.493
0.531 0.765 0.024
0.735 0.766 0.759
0.469 0.235 0.976
0.976 0.241 0.007
0.266 0.031 0.507
0.741 0.265 0.734
0.007 0.266 0.531
0.234 0.741 0.765
0.024 0.759 0.993
0.969 0.993 0.234
0.476 0.469 0.735
0.235 0.476 0.969
0.766 0.259 0.235
0.493 0.024 0.259
0.241 0.507 0.476
0.759 0.493 0.524
0.524 0.531 0.265
0.765 0.524 0.031
0.031 0.007 0.766
0.265 0.234 0.241
0.507 0.976 0.741
0.993 0.734 0.469
0.259 0.735 0.266
0.978 0.228 0.750
0.022 0.772 0.250
0.750 0.022 0.272
0.772 0.750 0.522
0.522 0.272 0.250
0.500 0.500 0.000
0.500 0.000 0.500
0.728 0.250 0.978
0.250 0.978 0.728
0.478 0.728 0.750
0.272 0.750 0.022
0.228 0.250 0.478
0.000 0.000 0.000
0.750 0.522 0.772
0.000 0.500 0.500
0.250 0.478 0.228
```

Most stable of them? ii.

i:
Entry from the Alexandria database: a geometry-optimized Mg3As2 structure (GGA-PBE).

Computed properties:
V: 23.0 Å³ per atom

Cell and atoms, written as POSCAR:
```
Mg3As2
1.0
6.884 0.000 0.000
3.442 5.961 0.000
3.442 1.987 5.617
As Mg
4 6
Direct
0.131 0.131 0.606
0.869 0.869 0.394
0.369 0.369 0.894
0.631 0.631 0.106
0.750 0.474 0.750
0.250 0.526 0.250
0.526 0.974 0.250
0.974 0.250 0.250
0.474 0.026 0.750
0.026 0.750 0.750
```

ii:
Entry from the Alexandria database: a geometry-optimized Mg3As2 structure (GGA-PBE).

Computed properties:
V: 23.7 Å³ per atom

Cell and atoms, written as POSCAR:
```
Mg3As2
1.0
-2.829 6.797 7.294
0.969 7.896 1.221
-6.461 0.932 3.148
As Mg
4 6
Direct
0.840 0.833 0.346
0.417 0.410 0.268
0.904 0.268 0.410
0.982 0.346 0.833
0.826 0.029 0.646
0.221 0.424 0.751
0.604 0.751 0.424
0.499 0.646 0.029
0.853 0.147 0.147
0.103 0.397 0.397
```

Most stable of them? i.

i:
Entry from the Alexandria database: a geometry-optimized Mg5As4 structure (GGA-PBE).

Computed properties:
V: 21.0 Å³ per atom

Cell and atoms, written as POSCAR:
```
Mg5As4
1.0
8.079 0.000 0.000
-4.040 6.997 0.000
0.000 0.000 6.672
As Mg
8 10
Direct
0.000 0.000 0.000
0.000 0.000 0.500
0.571 0.571 0.250
0.000 0.571 0.750
0.000 0.429 0.250
0.429 0.000 0.250
0.571 0.000 0.750
0.429 0.429 0.750
0.750 0.750 0.750
0.333 0.667 0.500
0.667 0.333 0.000
0.250 0.000 0.750
0.000 0.250 0.750
0.333 0.667 0.000
0.750 0.000 0.250
0.250 0.250 0.250
0.667 0.333 0.500
0.000 0.750 0.250
```

ii:
Entry from the Alexandria database: a geometry-optimized Mg5As4 structure (GGA-PBE).

Computed properties:
V: 21.1 Å³ per atom

Cell and atoms, written as POSCAR:
```
Mg5As4
1.0
-4.718 4.718 2.129
4.718 -4.718 2.129
4.718 4.718 -2.129
Mg As
5 4
Direct
0.328 0.328 0.656
0.672 0.328 0.000
0.672 0.672 0.344
0.000 0.000 0.000
0.328 0.672 0.000
0.283 0.000 0.283
0.000 0.717 0.717
0.717 0.000 0.717
0.000 0.283 0.283
```

Most stable of them? i.

i:
Entry from the Alexandria database: a geometry-optimized Mg3MnAs structure (GGA-PBE).

Computed properties:
V: 25.5 Å³ per atom

Cell and atoms, written as POSCAR:
```
Mg3MnAs
1.0
-1.477 -4.239 2.271
4.621 -0.593 1.899
-1.332 2.643 4.068
Mg Mn As
3 1 1
Direct
0.000 0.500 0.000
0.000 0.000 0.500
0.500 0.000 0.000
0.500 0.500 0.500
0.000 0.000 0.000
```

ii:
Entry from the Alexandria database: a geometry-optimized Mg3MnAs structure (GGA-PBE).

Computed properties:
V: 25.1 Å³ per atom

Cell and atoms, written as POSCAR:
```
Mg3MnAs
1.0
5.006 0.000 0.000
0.000 5.006 0.000
0.000 0.000 5.006
Mn As Mg
1 1 3
Direct
0.000 0.000 0.000
0.500 0.500 0.500
0.000 0.500 0.000
0.500 0.000 0.000
0.000 0.000 0.500
```

Most stable of them? i.

i:
Entry from the Alexandria database: a geometry-optimized MgMn3As structure (GGA-PBE).

Computed properties:
V: 19.7 Å³ per atom

Cell and atoms, written as POSCAR:
```
MgMn3As
1.0
4.617 0.000 0.000
0.000 4.617 0.000
0.000 0.000 4.617
As Mn Mg
1 3 1
Direct
0.000 0.000 0.000
0.500 0.000 0.000
0.000 0.500 0.000
0.000 0.000 0.500
0.500 0.500 0.500
```

ii:
Entry from the Alexandria database: a geometry-optimized MgMn3As structure (GGA-PBE).

Computed properties:
V: 20.3 Å³ per atom

Cell and atoms, written as POSCAR:
```
MgMn3As
1.0
4.668 0.000 0.000
0.000 4.668 0.000
0.000 0.000 4.668
As Mg Mn
1 1 3
Direct
0.500 0.500 0.500
0.000 0.000 0.000
0.500 0.000 0.000
0.000 0.500 0.000
0.000 0.000 0.500
```

Most stable of them? i.

i:
Entry from the Alexandria database: a geometry-optimized Mg2MnAs2 structure (GGA-PBE).

Computed properties:
V: 18.4 Å³ per atom

Cell and atoms, written as POSCAR:
```
Mg2MnAs2
1.0
-6.139 -2.831 -0.161
2.563 -5.375 -3.205
0.724 -1.771 3.549
Mg As Mn
4 4 2
Direct
0.161 0.661 0.500
0.839 0.339 0.500
0.339 0.161 0.500
0.661 0.839 0.500
0.844 0.656 0.000
0.156 0.344 0.000
0.344 0.844 0.000
0.656 0.156 0.000
0.500 0.500 0.000
0.000 0.000 0.000
```

ii:
Entry from the Alexandria database: a geometry-optimized Mg2MnAs2 structure (GGA-PBE).

Computed properties:
V: 20.8 Å³ per atom

Cell and atoms, written as POSCAR:
```
Mg2MnAs2
1.0
-0.349 3.487 -2.347
-0.327 0.242 4.198
6.650 0.976 0.462
As Mg Mn
2 2 1
Direct
0.667 0.333 0.766
0.333 0.667 0.233
0.000 0.000 0.999
0.667 0.333 0.366
0.333 0.667 0.635
```

Most stable of them? ii.

i:
Entry from the Alexandria database: a geometry-optimized MgMo3As structure (GGA-PBE).

Computed properties:
V: 19.8 Å³ per atom

Cell and atoms, written as POSCAR:
```
MgMo3As
1.0
-1.176 -4.010 -1.988
4.336 -0.511 -1.535
1.111 -2.253 3.887
As Mg Mo
1 1 3
Direct
0.500 0.500 0.500
0.000 0.000 0.000
0.000 0.500 0.000
0.000 0.000 0.500
0.500 0.000 0.000
```

ii:
Entry from the Alexandria database: a geometry-optimized MgMo3As structure (GGA-PBE).

Computed properties:
V: 20.1 Å³ per atom

Cell and atoms, written as POSCAR:
```
MgMo3As
1.0
-0.620 -4.291 -1.682
4.339 -1.116 1.247
-1.554 -1.403 4.152
As Mo Mg
1 3 1
Direct
0.000 0.000 0.000
0.000 0.500 0.000
0.500 0.000 0.000
0.000 0.000 0.500
0.500 0.500 0.500
```

Most stable of them? ii.

i:
Entry from the Alexandria database: a geometry-optimized MgAs2N structure (GGA-PBE).

Computed properties:
V: 18.0 Å³ per atom

Cell and atoms, written as POSCAR:
```
MgAs2N
1.0
6.078 0.000 0.000
0.000 6.078 0.000
3.039 3.039 3.897
Mg N As
2 2 4
Direct
0.750 0.250 0.500
0.000 0.000 0.000
0.500 0.500 0.000
0.250 0.750 0.500
0.537 0.125 0.250
0.875 0.787 0.750
0.375 0.463 0.750
0.213 0.625 0.250
```

ii:
Entry from the Alexandria database: a geometry-optimized MgAs2N structure (GGA-PBE).

Computed properties:
V: 16.0 Å³ per atom

Cell and atoms, written as POSCAR:
```
MgAs2N
1.0
3.284 -1.560 2.637
2.183 2.793 2.758
-0.627 -0.282 4.439
N Mg As
1 1 2
Direct
0.000 0.000 0.000
0.500 0.500 0.500
0.250 0.250 0.250
0.750 0.750 0.750
```

Most stable of them? i.

i:
Entry from the Alexandria database: a geometry-optimized Mg2AsN structure (GGA-PBE).

Computed properties:
V: 15.3 Å³ per atom

Cell and atoms, written as POSCAR:
```
Mg2AsN
1.0
-1.736 -3.650 1.788
-0.982 -0.099 4.309
-4.223 -0.028 1.304
As Mg N
1 2 1
Direct
0.500 0.500 0.500
0.750 0.750 0.750
0.250 0.250 0.250
0.000 0.000 0.000
```

ii:
Entry from the Alexandria database: a geometry-optimized Mg2AsN structure (GGA-PBE).

Computed properties:
V: 18.6 Å³ per atom

Cell and atoms, written as POSCAR:
```
Mg2AsN
1.0
-3.562 0.461 4.743
0.361 -5.879 0.842
1.765 -2.148 5.265
Mg N As
4 2 2
Direct
0.375 0.491 0.750
0.875 0.759 0.750
0.241 0.625 0.250
0.509 0.125 0.250
0.500 0.500 0.000
0.250 0.750 0.500
0.000 0.000 0.000
0.750 0.250 0.500
```

Most stable of them? ii.

i:
Entry from the Alexandria database: a geometry-optimized MgAs2SeN structure (GGA-PBE).

Computed properties:
V: 25.4 Å³ per atom

Cell and atoms, written as POSCAR:
```
MgAs2SeN
1.0
-1.929 -3.622 2.922
2.461 -3.479 -2.686
3.928 0.397 3.085
Se As N Mg
1 2 1 1
Direct
0.000 0.000 0.500
0.000 0.500 0.000
0.500 0.000 0.000
0.500 0.500 0.500
0.000 0.000 0.000
```

ii:
Entry from the Alexandria database: a geometry-optimized MgAs2SeN structure (GGA-PBE).

Computed properties:
V: 17.6 Å³ per atom

Cell and atoms, written as POSCAR:
```
MgAs2SeN
1.0
4.351 0.000 0.000
0.000 4.351 0.000
0.000 0.000 4.636
Se As Mg N
1 2 1 1
Direct
0.000 0.000 0.500
0.500 0.000 0.000
0.000 0.500 0.000
0.500 0.500 0.500
0.000 0.000 0.000
```

Most stable of them? ii.

i:
Entry from the Alexandria database: a geometry-optimized Sr2MgAsN structure (GGA-PBE).

Computed properties:
V: 32.6 Å³ per atom

Cell and atoms, written as POSCAR:
```
Sr2MgAsN
1.0
-4.348 -3.163 2.227
3.088 -3.549 0.988
0.994 2.324 5.242
N Sr Mg As
1 2 1 1
Direct
0.500 0.500 0.500
0.500 0.000 0.000
0.000 0.000 0.500
0.000 0.500 0.000
0.000 0.000 0.000
```

ii:
Entry from the Alexandria database: a geometry-optimized Sr2MgAsN structure (GGA-PBE).

Computed properties:
V: 23.0 Å³ per atom

Cell and atoms, written as POSCAR:
```
Sr2MgAsN
1.0
5.226 0.000 0.000
0.000 5.226 0.000
0.000 0.000 4.213
Sr Mg N As
2 1 1 1
Direct
0.500 0.000 0.000
0.000 0.500 0.000
0.000 0.000 0.500
0.000 0.000 0.000
0.500 0.500 0.500
```

Most stable of them? ii.